Entry A
# ReHg3

ReHg3 after structural relaxation (PBE, the Alexandria database).

Values from the calculation:
The density of states at the Fermi level is 4.95 states/eV/cell. As for the crystal system: orthorhombic.

a = 4.649 Å, b = 5.958 Å, c = 5.877 Å
α = 90.00°, β = 90.00°, γ = 90.00°
Fractional coordinates of all 8 atoms:
Re: 0.250 0.250 0.185
Re: 0.750 0.750 0.815
Hg: 0.250 0.002 0.650
Hg: 0.250 0.498 0.650
Hg: 0.250 0.750 0.113
Hg: 0.750 0.250 0.887
Hg: 0.750 0.502 0.350
Hg: 0.750 0.998 0.350

=====

Entry B
# ReHg3

ReHg3 after structural relaxation (PBE, the Alexandria database).

Values from the calculation:
The density of states at the Fermi level is 7.62 states/eV/cell. As for the crystal system: cubic.

a = 5.524 Å, b = 5.524 Å, c = 5.524 Å
α = 90.00°, β = 90.00°, γ = 90.00°
Fractional coordinates of all 8 atoms:
Re: 0.000 0.000 0.000
Re: 0.500 0.500 0.500
Hg: 0.000 0.250 0.500
Hg: 0.000 0.750 0.500
Hg: 0.250 0.500 0.000
Hg: 0.500 0.000 0.250
Hg: 0.500 0.000 0.750
Hg: 0.750 0.500 0.000

=====

The most stable arrangement is entry A, and the next structure is 0.148 eV/atom less stable.

=====

Entry A
# ReHg3

ReHg3 after structural relaxation (PBE, the Alexandria database).

Values from the calculation:
The density of states at the Fermi level is 2.63 states/eV/cell. As for the crystal system: hexagonal.

a = 2.910 Å, b = 2.910 Å, c = 11.620 Å
α = 90.00°, β = 90.00°, γ = 120.00°
Fractional coordinates of all 4 atoms:
Re: 0.000 0.000 0.000
Hg: 0.000 0.000 0.500
Hg: 0.667 0.333 0.215
Hg: 0.667 0.333 0.785

=====

Entry B
# ReHg3

ReHg3 after structural relaxation (PBE, the Alexandria database).

Values from the calculation:
The density of states at the Fermi level is 4.03 states/eV/cell. As for the crystal system: orthorhombic.

a = 8.164 Å, b = 8.164 Å, c = 2.967 Å
α = 90.00°, β = 90.00°, γ = 109.77°
Fractional coordinates of all 8 atoms:
Re: 0.071 0.929 0.750
Re: 0.929 0.071 0.250
Hg: 0.140 0.379 0.750
Hg: 0.277 0.723 0.250
Hg: 0.379 0.140 0.250
Hg: 0.621 0.860 0.750
Hg: 0.723 0.277 0.750
Hg: 0.860 0.621 0.250

=====

Entry C
# ReHg3

ReHg3 after structural relaxation (PBE, the Alexandria database).

Values from the calculation:
The density of states at the Fermi level is 2.60 states/eV/cell. As for the crystal system: orthorhombic.

a = 5.351 Å, b = 5.351 Å, c = 2.959 Å
α = 90.00°, β = 90.00°, γ = 112.37°
Fractional coordinates of all 4 atoms:
Re: 0.000 0.000 0.000
Hg: 0.000 0.500 0.500
Hg: 0.500 0.000 0.500
Hg: 0.500 0.500 0.000

=====

The most stable arrangement is entry B, and the next structure is 0.151 eV/atom less stable.

=====

Entry A
# ReHg3

ReHg3 after structural relaxation (PBE, the Alexandria database).

Values from the calculation:
The density of states at the Fermi level is 3.52 states/eV/cell. As for the crystal system: cubic.

a = 4.872 Å, b = 4.872 Å, c = 4.872 Å
α = 60.00°, β = 60.00°, γ = 60.00°
Fractional coordinates of all 4 atoms:
Re: 0.000 0.000 0.000
Hg: 0.250 0.250 0.250
Hg: 0.500 0.500 0.500
Hg: 0.750 0.750 0.750

=====

Entry B
# ReHg3

ReHg3 after structural relaxation (PBE, the Alexandria database).

Values from the calculation:
The density of states at the Fermi level is 3.85 states/eV/cell. As for the crystal system: tetragonal.

a = 5.489 Å, b = 5.489 Å, c = 5.489 Å
α = 135.37°, β = 135.37°, γ = 64.95°
Fractional coordinates of all 4 atoms:
Re: 0.000 0.000 0.000
Hg: 0.250 0.750 0.500
Hg: 0.500 0.500 0.000
Hg: 0.750 0.250 0.500

=====

Entry C
# ReHg3

ReHg3 after structural relaxation (PBE, the Alexandria database).

Values from the calculation:
The density of states at the Fermi level is 5.10 states/eV/cell. As for the crystal system: hexagonal.

a = 5.974 Å, b = 5.974 Å, c = 5.146 Å
α = 90.00°, β = 90.00°, γ = 120.00°
Fractional coordinates of all 8 atoms:
Re: 0.333 0.667 0.250
Re: 0.667 0.333 0.750
Hg: 0.170 0.341 0.750
Hg: 0.170 0.830 0.750
Hg: 0.341 0.170 0.250
Hg: 0.659 0.830 0.750
Hg: 0.830 0.170 0.250
Hg: 0.830 0.659 0.250

=====

Entry D
# ReHg3

ReHg3 after structural relaxation (PBE, the Alexandria database).

Values from the calculation:
The density of states at the Fermi level is 6.74 states/eV/cell. As for the crystal system: hexagonal.

a = 6.031 Å, b = 6.031 Å, c = 9.984 Å
α = 90.00°, β = 90.00°, γ = 120.00°
Fractional coordinates of all 16 atoms:
Re: 0.000 0.000 0.000
Re: 0.000 0.000 0.500
Re: 0.333 0.667 0.250
Re: 0.667 0.333 0.750
Hg: 0.000 0.500 0.000
Hg: 0.000 0.500 0.500
Hg: 0.162 0.324 0.750
Hg: 0.162 0.838 0.750
Hg: 0.324 0.162 0.250
Hg: 0.500 0.000 0.000
Hg: 0.500 0.000 0.500
Hg: 0.500 0.500 0.000
Hg: 0.500 0.500 0.500
Hg: 0.676 0.838 0.750
Hg: 0.838 0.162 0.250
Hg: 0.838 0.676 0.250

=====

The most stable arrangement is entry D, and the next structure is 0.057 eV/atom less stable.

=====

Entry A
# Re4Hg

Re4Hg after structural relaxation (PBE, the Alexandria database).

Values from the calculation:
The density of states at the Fermi level is 4.32 states/eV/cell. As for the crystal system: tetragonal.

a = 4.866 Å, b = 4.866 Å, c = 4.866 Å
α = 99.90°, β = 99.90°, γ = 131.01°
Fractional coordinates of all 5 atoms:
Re: 0.081 0.304 0.384
Re: 0.304 0.919 0.223
Re: 0.696 0.081 0.777
Re: 0.919 0.696 0.616
Hg: 0.500 0.500 0.000

=====

Entry B
# Re4Hg

Re4Hg after structural relaxation (PBE, the Alexandria database).

Values from the calculation:
The density of states at the Fermi level is 7.55 states/eV/cell. As for the crystal system: cubic.

a = 4.767 Å, b = 4.767 Å, c = 4.767 Å
α = 90.00°, β = 90.00°, γ = 90.00°
Fractional coordinates of all 5 atoms:
Re: 0.000 0.000 0.000
Re: 0.000 0.500 0.500
Re: 0.500 0.000 0.500
Re: 0.500 0.500 0.000
Hg: 0.500 0.500 0.500

=====

The most stable arrangement is entry A, and the next structure is 3.179 eV/atom less stable.

=====

Entry A
# Re3Hg

Re3Hg after structural relaxation (PBE, the Alexandria database).

Values from the calculation:
The density of states at the Fermi level is 3.68 states/eV/cell. As for the crystal system: orthorhombic.

a = 5.408 Å, b = 5.408 Å, c = 5.408 Å
α = 149.08°, β = 62.62°, γ = 127.01°
Fractional coordinates of all 4 atoms:
Re: 0.000 0.000 0.000
Re: 0.102 0.365 0.737
Re: 0.628 0.365 0.263
Hg: 0.495 0.995 0.500

=====

Entry B
# Re3Hg

Re3Hg after structural relaxation (PBE, the Alexandria database).

Values from the calculation:
The density of states at the Fermi level is 3.02 states/eV/cell. As for the crystal system: orthorhombic.

a = 2.845 Å, b = 3.997 Å, c = 5.790 Å
α = 90.00°, β = 90.00°, γ = 90.00°
Fractional coordinates of all 4 atoms:
Re: 0.000 0.000 0.000
Re: 0.500 0.500 0.212
Re: 0.500 0.500 0.788
Hg: 0.000 0.000 0.500

=====

Entry C
# Re3Hg

Re3Hg after structural relaxation (PBE, the Alexandria database).

Values from the calculation:
The density of states at the Fermi level is 5.24 states/eV/cell. As for the crystal system: trigonal.

a = 5.314 Å, b = 5.314 Å, c = 5.314 Å
α = 117.11°, β = 117.11°, γ = 117.11°
Fractional coordinates of all 4 atoms:
Re: 0.000 0.500 0.500
Re: 0.500 0.000 0.500
Re: 0.500 0.500 0.000
Hg: 0.000 0.000 0.000

=====

Entry D
# Re3Hg

Re3Hg after structural relaxation (PBE, the Alexandria database).

Values from the calculation:
The density of states at the Fermi level is 2.41 states/eV/cell. As for the crystal system: orthorhombic.

a = 2.758 Å, b = 2.758 Å, c = 9.642 Å
α = 90.00°, β = 90.00°, γ = 115.45°
Fractional coordinates of all 4 atoms:
Re: 0.000 0.000 0.000
Re: 0.500 0.500 0.229
Re: 0.500 0.500 0.771
Hg: 0.000 0.000 0.500

=====

The most stable arrangement is entry B, and the next structure is 0.073 eV/atom less stable.

=====

Entry A
# Re3Hg

Re3Hg after structural relaxation (PBE, the Alexandria database).

Values from the calculation:
The density of states at the Fermi level is 4.51 states/eV/cell. As for the crystal system: cubic.

a = 4.510 Å, b = 4.510 Å, c = 4.510 Å
α = 60.00°, β = 60.00°, γ = 60.00°
Fractional coordinates of all 4 atoms:
Re: 0.000 0.000 0.000
Re: 0.250 0.250 0.250
Re: 0.750 0.750 0.750
Hg: 0.500 0.500 0.500

=====

Entry B
# Re3Hg

Re3Hg after structural relaxation (PBE, the Alexandria database).

Values from the calculation:
The density of states at the Fermi level is 3.83 states/eV/cell. As for the crystal system: trigonal.

a = 9.597 Å, b = 9.597 Å, c = 9.597 Å
α = 16.91°, β = 16.91°, γ = 16.91°
Fractional coordinates of all 4 atoms:
Re: 0.000 0.000 0.000
Re: 0.257 0.257 0.257
Re: 0.743 0.743 0.743
Hg: 0.500 0.500 0.500

=====

Entry C
# Re3Hg

Re3Hg after structural relaxation (PBE, the Alexandria database).

Values from the calculation:
The density of states at the Fermi level is 2.99 states/eV/cell. As for the crystal system: orthorhombic.

a = 4.867 Å, b = 4.867 Å, c = 2.869 Å
α = 90.00°, β = 90.00°, γ = 110.05°
Fractional coordinates of all 4 atoms:
Re: 0.000 0.000 0.000
Re: 0.000 0.500 0.500
Re: 0.500 0.000 0.500
Hg: 0.500 0.500 0.000

=====

The most stable arrangement is entry B, and the next structure is 0.352 eV/atom less stable.

=====

Entry A
# ReHgRh

ReHgRh after structural relaxation (PBE, the Alexandria database).

Values from the calculation:
The density of states at the Fermi level is 2.80 states/eV/cell. As for the crystal system: trigonal.

a = 2.851 Å, b = 2.851 Å, c = 7.062 Å
α = 90.00°, β = 90.00°, γ = 120.00°
Fractional coordinates of all 3 atoms:
Re: 0.000 0.000 0.000
Hg: 0.667 0.333 0.638
Rh: 0.333 0.667 0.287

=====

Entry B
# ReHgRh

ReHgRh after structural relaxation (PBE, the Alexandria database).

Values from the calculation:
The density of states at the Fermi level is 1.04 states/eV/cell. As for the crystal system: cubic.

a = 4.304 Å, b = 4.304 Å, c = 4.304 Å
α = 60.00°, β = 60.00°, γ = 60.00°
Fractional coordinates of all 3 atoms:
Re: 0.000 0.000 0.000
Hg: 0.500 0.500 0.500
Rh: 0.750 0.750 0.750

=====

The most stable arrangement is entry A, and the next structure is 0.456 eV/atom less stable.

=====

Entry A
# ReHgRh

ReHgRh after structural relaxation (PBE, the Alexandria database).

Values from the calculation:
The density of states at the Fermi level is 2.42 states/eV/cell. As for the crystal system: trigonal.

a = 7.244 Å, b = 7.244 Å, c = 7.244 Å
α = 22.71°, β = 22.71°, γ = 22.71°
Fractional coordinates of all 3 atoms:
Re: 0.000 0.000 0.000
Hg: 0.787 0.787 0.787
Rh: 0.238 0.238 0.238

=====

Entry B
# ReHgRh

ReHgRh after structural relaxation (PBE, the Alexandria database).

Values from the calculation:
The density of states at the Fermi level is 2.62 states/eV/cell. As for the crystal system: tetragonal.

a = 6.460 Å, b = 6.460 Å, c = 6.460 Å
α = 154.55°, β = 154.55°, γ = 36.30°
Fractional coordinates of all 3 atoms:
Re: 0.000 0.000 0.000
Hg: 0.683 0.683 0.000
Rh: 0.365 0.365 0.000

=====

The most stable arrangement is entry B, and the next structure is 0.032 eV/atom less stable.

=====

Entry A
# ReHgRh3

ReHgRh3 after structural relaxation (PBE, the Alexandria database).

Values from the calculation:
The density of states at the Fermi level is 3.96 states/eV/cell. As for the crystal system: cubic.

a = 4.722 Å, b = 4.722 Å, c = 4.722 Å
α = 90.00°, β = 90.00°, γ = 90.00°
Fractional coordinates of all 5 atoms:
Re: 0.000 0.000 0.000
Hg: 0.500 0.500 0.500
Rh: 0.000 0.000 0.500
Rh: 0.000 0.500 0.000
Rh: 0.500 0.000 0.000

=====

Entry B
# ReHgRh3

ReHgRh3 after structural relaxation (PBE, the Alexandria database).

Values from the calculation:
The density of states at the Fermi level is 8.98 states/eV/cell. As for the crystal system: cubic.

a = 4.833 Å, b = 4.833 Å, c = 4.833 Å
α = 90.00°, β = 90.00°, γ = 90.00°
Fractional coordinates of all 5 atoms:
Re: 0.000 0.000 0.000
Hg: 0.500 0.500 0.500
Rh: 0.000 0.500 0.500
Rh: 0.500 0.000 0.500
Rh: 0.500 0.500 0.000

=====

The most stable arrangement is entry A, and the next structure is 1.296 eV/atom less stable.

=====

Entry A
# ReHg2Ru

ReHg2Ru after structural relaxation (PBE, the Alexandria database).

Values from the calculation:
The density of states at the Fermi level is 2.40 states/eV/cell. As for the crystal system: trigonal.

a = 10.383 Å, b = 10.383 Å, c = 10.383 Å
α = 15.95°, β = 15.95°, γ = 15.95°
Fractional coordinates of all 4 atoms:
Re: 0.000 0.000 0.000
Hg: 0.248 0.248 0.248
Hg: 0.479 0.479 0.479
Ru: 0.730 0.730 0.730

=====

Entry B
# ReHg2Ru

ReHg2Ru after structural relaxation (PBE, the Alexandria database).

Values from the calculation:
The density of states at the Fermi level is 4.73 states/eV/cell. As for the crystal system: orthorhombic.

a = 2.891 Å, b = 4.924 Å, c = 4.969 Å
α = 90.00°, β = 90.00°, γ = 90.00°
Fractional coordinates of all 4 atoms:
Re: 0.000 0.000 0.000
Hg: 0.000 0.500 0.500
Hg: 0.500 0.500 0.000
Ru: 0.500 0.000 0.500

=====

Entry C
# ReHg2Ru

ReHg2Ru after structural relaxation (PBE, the Alexandria database).

Values from the calculation:
The density of states at the Fermi level is 4.16 states/eV/cell. As for the crystal system: orthorhombic.

a = 5.196 Å, b = 5.196 Å, c = 2.808 Å
α = 90.00°, β = 90.00°, γ = 111.41°
Fractional coordinates of all 4 atoms:
Re: 0.000 0.000 0.000
Hg: 0.000 0.500 0.500
Hg: 0.500 0.000 0.500
Ru: 0.500 0.500 0.000

=====

The most stable arrangement is entry A, and the next structure is 0.508 eV/atom less stable.